Entry 1:
# Mg2Si6Pd21

A relaxed Mg2Si6Pd21 crystal (PBE, Alexandria via LeMat-Bulk).

Calculated values
Fermi-level density of states   17.820 states/eV per cell
Symmetry   Fm-3m, No. 225
Spin magnetization   0.00 μB per atom
E   -5.5853 eV per atom

Cell lengths 8.5914, 8.5914, 8.5914 Å; angles 60.00, 60.00, 60.00 degrees
Closest atoms and distances in Å follow each position.
Fractional positions:
1 Mg 0.2500 0.2500 0.2500  4 Pd 2.75
2 Mg 0.7500 0.7500 0.7500  4 Pd 2.75
3 Si 0.2302 0.2302 0.7698  8 Pd 2.40-2.45
4 Si 0.2302 0.7698 0.2302  8 Pd 2.40-2.45
5 Si 0.2302 0.7698 0.7698  8 Pd 2.40-2.45
6 Si 0.7698 0.2302 0.2302  8 Pd 2.40-2.45
7 Si 0.7698 0.2302 0.7698  8 Pd 2.40-2.45
8 Si 0.7698 0.7698 0.2302  8 Pd 2.40-2.45
9 Pd 0.1195 0.1195 0.1195  3 Si 2.45, 1 Mg 2.75
10 Pd 0.1195 0.1195 0.6416  3 Si 2.45, 1 Mg 2.75
11 Pd 0.1195 0.6416 0.1195  3 Si 2.45, 1 Mg 2.75
12 Pd 0.1582 0.5000 0.5000  2 Si 2.40
13 Pd 0.1582 0.5000 0.8418  2 Si 2.40
14 Pd 0.1582 0.8418 0.5000  2 Si 2.40
15 Pd 0.3584 0.8805 0.8805  3 Si 2.45, 1 Mg 2.75
16 Pd 0.5000 0.1582 0.5000  2 Si 2.40
17 Pd 0.5000 0.1582 0.8418  2 Si 2.40
18 Pd 0.5000 0.5000 0.1582  2 Si 2.40
19 Pd 0.5000 0.5000 0.5000  12 Pd 2.94, 6 Si 3.28
20 Pd 0.5000 0.5000 0.8418  2 Si 2.40
21 Pd 0.5000 0.8418 0.1582  2 Si 2.40
22 Pd 0.5000 0.8418 0.5000  2 Si 2.40
23 Pd 0.6416 0.1195 0.1195  3 Si 2.45, 1 Mg 2.75
24 Pd 0.8418 0.1582 0.5000  2 Si 2.40
25 Pd 0.8418 0.5000 0.1582  2 Si 2.40
26 Pd 0.8418 0.5000 0.5000  2 Si 2.40
27 Pd 0.8805 0.3584 0.8805  3 Si 2.45, 1 Mg 2.75
28 Pd 0.8805 0.8805 0.3584  3 Si 2.45, 1 Mg 2.75
29 Pd 0.8805 0.8805 0.8805  3 Si 2.45, 1 Mg 2.75

---

Entry 2:
# Mg3Si2Pd3

A relaxed Mg3Si2Pd3 crystal (PBE, Alexandria via LeMat-Bulk).

Calculated values
Fermi-level density of states   9.149 states/eV per cell
Symmetry   Pnma, No. 62
Spin magnetization   0.00 μB per atom
E   -4.4798 eV per atom

Cell lengths 7.3099, 14.2250, 5.3146 Å; angles 90.00, 90.00, 90.00 degrees
Closest atoms and distances in Å follow each position.
Fractional positions:
1 Mg 0.0227 0.1097 0.1189  3 Si 2.83-2.90, 7 Pd 2.88-3.15
2 Mg 0.0227 0.3903 0.1189  3 Si 2.83-2.90, 7 Pd 2.88-3.15
3 Mg 0.1695 0.2500 0.6024  5 Pd 2.79-2.98, 4 Si 2.89-2.94
4 Mg 0.3305 0.7500 0.1024  5 Pd 2.79-2.98, 4 Si 2.89-2.94
5 Mg 0.4773 0.6097 0.6189  3 Si 2.83-2.90, 7 Pd 2.88-3.15
6 Mg 0.4773 0.8903 0.6189  3 Si 2.83-2.90, 7 Pd 2.88-3.15
7 Mg 0.5227 0.1097 0.3811  3 Si 2.83-2.90, 7 Pd 2.88-3.15
8 Mg 0.5227 0.3903 0.3811  3 Si 2.83-2.90, 7 Pd 2.88-3.15
9 Mg 0.6695 0.2500 0.8976  5 Pd 2.79-2.98, 4 Si 2.89-2.94
10 Mg 0.8305 0.7500 0.3976  5 Pd 2.79-2.98, 4 Si 2.89-2.94
11 Mg 0.9773 0.6097 0.8811  3 Si 2.83-2.90, 7 Pd 2.88-3.15
12 Mg 0.9773 0.8903 0.8811  3 Si 2.83-2.90, 7 Pd 2.88-3.15
13 Si 0.1283 0.6114 0.3863  4 Pd 2.36-2.45
14 Si 0.1283 0.8886 0.3863  4 Pd 2.36-2.45
15 Si 0.3717 0.1114 0.8863  4 Pd 2.36-2.45
16 Si 0.3717 0.3886 0.8863  4 Pd 2.36-2.45
17 Si 0.6283 0.6114 0.1137  4 Pd 2.36-2.45
18 Si 0.6283 0.8886 0.1137  4 Pd 2.36-2.45
19 Si 0.8717 0.1114 0.6137  4 Pd 2.36-2.45
20 Si 0.8717 0.3886 0.6137  4 Pd 2.36-2.45
21 Pd 0.1697 0.0404 0.5945  3 Si 2.37-2.45
22 Pd 0.1697 0.4596 0.5945  3 Si 2.37-2.45
23 Pd 0.1858 0.7500 0.6171  2 Si 2.36
24 Pd 0.3142 0.2500 0.1171  2 Si 2.36
25 Pd 0.3303 0.5404 0.0945  3 Si 2.37-2.45
26 Pd 0.3303 0.9596 0.0945  3 Si 2.37-2.45
27 Pd 0.6697 0.0404 0.9055  3 Si 2.37-2.45
28 Pd 0.6697 0.4596 0.9055  3 Si 2.37-2.45
29 Pd 0.6858 0.7500 0.8829  2 Si 2.36
30 Pd 0.8142 0.2500 0.3829  2 Si 2.36
31 Pd 0.8303 0.5404 0.4055  3 Si 2.37-2.45
32 Pd 0.8303 0.9596 0.4055  3 Si 2.37-2.45

---

Entry 3:
# MgSi6Pd12

A relaxed MgSi6Pd12 crystal (PBE, Alexandria via LeMat-Bulk).

Calculated values
Fermi-level density of states   5.633 states/eV per cell
Symmetry   R-3m, No. 166
Spin magnetization   0.00 μB per atom
E   -5.6239 eV per atom

Cell lengths 7.1174, 7.1174, 7.1174 Å; angles 106.44, 106.44, 106.44 degrees
Closest atoms and distances in Å follow each position.
Fractional positions:
1 Mg 0.0000 0.0000 0.0000  6 Pd 3.21
2 Si 0.2580 0.2580 0.6919  7 Pd 2.42-2.54
3 Si 0.2580 0.6919 0.2580  7 Pd 2.42-2.54
4 Si 0.3081 0.7420 0.7420  7 Pd 2.42-2.54
5 Si 0.6919 0.2580 0.2580  7 Pd 2.42-2.54
6 Si 0.7420 0.3081 0.7420  7 Pd 2.42-2.54
7 Si 0.7420 0.7420 0.3081  7 Pd 2.42-2.54
8 Pd 0.1253 0.5000 0.8747  4 Si 2.43
9 Pd 0.1253 0.8747 0.5000  4 Si 2.43
10 Pd 0.1657 0.4216 0.4216  3 Si 2.42-2.54
11 Pd 0.4216 0.1657 0.4216  3 Si 2.42-2.54
12 Pd 0.4216 0.4216 0.1657  3 Si 2.42-2.54
13 Pd 0.5000 0.1253 0.8747  4 Si 2.43
14 Pd 0.5000 0.8747 0.1253  4 Si 2.43
15 Pd 0.5784 0.5784 0.8343  3 Si 2.42-2.54
16 Pd 0.5784 0.8343 0.5784  3 Si 2.42-2.54
17 Pd 0.8343 0.5784 0.5784  3 Si 2.42-2.54
18 Pd 0.8747 0.1253 0.5000  4 Si 2.43
19 Pd 0.8747 0.5000 0.1253  4 Si 2.43

---

Entry 4:
# MgSiPd2

A relaxed MgSiPd2 crystal (PBE, Alexandria via LeMat-Bulk).

Calculated values
Fermi-level density of states   6.767 states/eV per cell
Symmetry   Pnma, No. 62
Spin magnetization   0.00 μB per atom
E   -5.0271 eV per atom

Cell lengths 6.5458, 7.0996, 5.4780 Å; angles 90.00, 90.00, 90.00 degrees
Closest atoms and distances in Å follow each position.
Fractional positions:
1 Mg 0.0077 0.2500 0.0863  3 Si 2.72-2.87, 6 Pd 2.77-3.03
2 Mg 0.4923 0.7500 0.5863  3 Si 2.72-2.87, 6 Pd 2.77-3.03
3 Mg 0.5077 0.2500 0.4137  3 Si 2.72-2.87, 6 Pd 2.77-3.03
4 Mg 0.9923 0.7500 0.9137  3 Si 2.72-2.87, 6 Pd 2.77-3.03
5 Si 0.1163 0.2500 0.5781  6 Pd 2.43-2.48, 1 Mg 2.72
6 Si 0.3837 0.7500 0.0781  6 Pd 2.43-2.48, 1 Mg 2.72
7 Si 0.6163 0.2500 0.9219  6 Pd 2.43-2.48, 1 Mg 2.72
8 Si 0.8837 0.7500 0.4219  6 Pd 2.43-2.48, 1 Mg 2.72
9 Pd 0.1755 0.5464 0.3474  3 Si 2.43-2.48
10 Pd 0.1755 0.9536 0.3474  3 Si 2.43-2.48
11 Pd 0.3245 0.0464 0.8474  3 Si 2.43-2.48
12 Pd 0.3245 0.4536 0.8474  3 Si 2.43-2.48
13 Pd 0.6755 0.5464 0.1526  3 Si 2.43-2.48
14 Pd 0.6755 0.9536 0.1526  3 Si 2.43-2.48
15 Pd 0.8245 0.0464 0.6526  3 Si 2.43-2.48
16 Pd 0.8245 0.4536 0.6526  3 Si 2.43-2.48

---

Entry 5:
# MgSi2Pd8

A relaxed MgSi2Pd8 crystal (PBE, Alexandria via LeMat-Bulk).

Calculated values
Fermi-level density of states   3.195 states/eV per cell
Symmetry   Immm, No. 71
Spin magnetization   0.00 μB per atom
Energy above the lowest structure with this stoichiometry   12.3 meV/atom
E   -5.4534 eV per atom

Cell lengths 7.2427, 7.2427, 7.2427 Å; angles 148.25, 122.76, 66.95 degrees
Closest atoms and distances in Å follow each position.
Fractional positions:
1 Mg 0.0000 0.0000 0.0000  12 Pd 2.65-2.91
2 Si 0.3154 0.3154 0.0000  8 Pd 2.49-2.68
3 Si 0.6846 0.6846 0.0000  8 Pd 2.49-2.68
4 Pd 0.1192 0.8342 0.2850  3 Si 2.49-2.68, 1 Pd 2.72
5 Pd 0.1455 0.6455 0.5000  2 Mg 2.65, 8 Pd 2.72-2.81, 2 Si 2.85
6 Pd 0.3075 0.5000 0.8075  2 Si 2.60, 7 Pd 2.67-2.82, 2 Mg 2.91
7 Pd 0.4508 0.1658 0.2850  3 Si 2.49-2.68, 1 Pd 2.72
8 Pd 0.5492 0.8342 0.7150  3 Si 2.49-2.68, 1 Pd 2.72
9 Pd 0.6925 0.5000 0.1925  2 Si 2.60, 7 Pd 2.67-2.82, 2 Mg 2.91
10 Pd 0.8545 0.3545 0.5000  2 Mg 2.65, 8 Pd 2.72-2.81, 2 Si 2.85
11 Pd 0.8808 0.1658 0.7150  3 Si 2.49-2.68, 1 Pd 2.72

---

Entry 6:
# Mg2SiPd4

A relaxed Mg2SiPd4 crystal (PBE, Alexandria via LeMat-Bulk).

Calculated values
Fermi-level density of states   3.345 states/eV per cell
Symmetry   I4/mmm, No. 139
Spin magnetization   0.00 μB per atom
Energy above the lowest structure with this stoichiometry   308.5 meV/atom
E   -4.4566 eV per atom

Cell lengths 7.4149, 7.4149, 7.4149 Å; angles 144.83, 144.83, 50.59 degrees
Closest atoms and distances in Å follow each position.
Fractional positions:
1 Mg 0.1302 0.1302 0.0000  5 Pd 2.64-2.84
2 Mg 0.8698 0.8698 0.0000  5 Pd 2.64-2.84
3 Si 0.5000 0.5000 0.0000  6 Pd 2.24-2.32
4 Pd 0.0000 0.5000 0.5000  2 Si 2.24
5 Pd 0.3273 0.3273 0.0000  1 Si 2.32
6 Pd 0.5000 0.0000 0.5000  2 Si 2.24
7 Pd 0.6727 0.6727 0.0000  1 Si 2.32

---

Entry 7:
# Mg5SiPd6

A relaxed Mg5SiPd6 crystal (PBE, Alexandria via LeMat-Bulk).

Calculated values
Fermi-level density of states   4.844 states/eV per cell
Symmetry   Cmmm, No. 65
Spin magnetization   0.00 μB per atom
E   -4.4265 eV per atom

Cell lengths 7.1206, 7.1206, 6.2064 Å; angles 90.00, 90.00, 143.22 degrees
Closest atoms and distances in Å follow each position.
Fractional positions:
1 Mg 0.0000 0.0000 0.0000  8 Pd 2.65-2.79
2 Mg 0.3279 0.6721 0.5000  8 Pd 2.70-2.76
3 Mg 0.3306 0.6694 0.0000  8 Pd 2.77-2.86, 2 Mg 3.10
4 Mg 0.6694 0.3306 0.0000  8 Pd 2.77-2.86, 2 Mg 3.10
5 Mg 0.6721 0.3279 0.5000  8 Pd 2.70-2.76
6 Si 0.0000 0.0000 0.5000  8 Pd 2.58-2.67
7 Pd 0.1558 0.8442 0.2598  1 Si 2.58, 7 Mg 2.65-2.86
8 Pd 0.1558 0.8442 0.7402  1 Si 2.58, 7 Mg 2.65-2.86
9 Pd 0.5000 0.5000 0.2676  2 Si 2.67, 6 Mg 2.74-2.83, 1 Pd 2.88
10 Pd 0.5000 0.5000 0.7324  2 Si 2.67, 6 Mg 2.74-2.83, 1 Pd 2.88
11 Pd 0.8442 0.1558 0.2598  1 Si 2.58, 7 Mg 2.65-2.86
12 Pd 0.8442 0.1558 0.7402  1 Si 2.58, 7 Mg 2.65-2.86

---

Entry 8:
# Mg3SiPd

A relaxed Mg3SiPd crystal (PBE, Alexandria via LeMat-Bulk).

Calculated values
Fermi-level density of states   2.865 states/eV per cell
Symmetry   Pm-3m, No. 221
Spin magnetization   0.00 μB per atom
Energy above the lowest structure with this stoichiometry   0.0 meV/atom
E   -2.9142 eV per atom

Cell lengths 4.9058, 4.9058, 4.9058 Å; angles 90.00, 90.00, 90.00 degrees
Closest atoms and distances in Å follow each position.
Fractional positions:
1 Mg 0.0000 0.0000 0.5000  2 Pd 2.45
2 Mg 0.0000 0.5000 0.0000  2 Pd 2.45
3 Mg 0.5000 0.0000 0.0000  2 Pd 2.45
4 Si 0.5000 0.5000 0.5000  12 Mg 3.47
5 Pd 0.0000 0.0000 0.0000  6 Mg 2.45

---

Entry 9:
# MgSi2Pd8

A relaxed MgSi2Pd8 crystal (PBE, Alexandria via LeMat-Bulk).

Calculated values
Fermi-level density of states   3.398 states/eV per cell
Symmetry   C2/m, No. 12
Spin magnetization   0.00 μB per atom
Energy above the lowest structure with this stoichiometry   0.0 meV/atom
E   -5.4657 eV per atom

Cell lengths 6.5323, 6.5323, 4.4822 Å; angles 99.04, 99.04, 111.50 degrees
Closest atoms and distances in Å follow each position.
Fractional positions:
1 Mg 0.0000 0.0000 0.0000  4 Pd 2.63-2.71
2 Si 0.3189 0.6811 0.5000  8 Pd 2.39-2.49
3 Si 0.6811 0.3189 0.5000  8 Pd 2.39-2.49
4 Pd 0.0703 0.3257 0.5911  2 Si 2.44-2.49
5 Pd 0.2432 0.7568 0.0000  2 Si 2.39, 1 Mg 2.63
6 Pd 0.3257 0.0703 0.5911  2 Si 2.44-2.49
7 Pd 0.3841 0.3841 0.1866  2 Si 2.42, 1 Pd 2.70
8 Pd 0.6159 0.6159 0.8134  2 Si 2.42, 1 Pd 2.70
9 Pd 0.6743 0.9297 0.4089  2 Si 2.44-2.49
10 Pd 0.7568 0.2432 0.0000  2 Si 2.39, 1 Mg 2.63
11 Pd 0.9297 0.6743 0.4089  2 Si 2.44-2.49

---

Entry 10:
# MgSiPd6

A relaxed MgSiPd6 crystal (PBE, Alexandria via LeMat-Bulk).

Calculated values
Fermi-level density of states   4.381 states/eV per cell
Symmetry   C2/m, No. 12
Spin magnetization   0.00 μB per atom
Energy above the lowest structure with this stoichiometry   0.0 meV/atom
E   -5.2109 eV per atom

Cell lengths 7.6132, 7.6132, 4.1126 Å; angles 105.58, 105.58, 31.34 degrees
Closest atoms and distances in Å follow each position.
Fractional positions:
1 Mg 0.0000 0.0000 0.0000  8 Pd 2.59
2 Si 0.5000 0.5000 0.5000  8 Pd 2.59
3 Pd 0.1113 0.1113 0.6105  2 Mg 2.59, 2 Si 2.59, 4 Pd 2.82-2.86
4 Pd 0.2520 0.2520 0.2521  12 Pd 2.81-2.91
5 Pd 0.3887 0.3887 0.8894  2 Si 2.59, 2 Mg 2.59, 4 Pd 2.81-2.85
6 Pd 0.6113 0.6113 0.1106  2 Si 2.59, 2 Mg 2.59, 4 Pd 2.81-2.85
7 Pd 0.7480 0.7480 0.7479  12 Pd 2.81-2.91
8 Pd 0.8887 0.8887 0.3895  2 Mg 2.59, 2 Si 2.59, 4 Pd 2.82-2.86

---

no.,ρ (g cm⁻³),calculated volume (Å³/atom)
1,9.08,15.5
2,5.39,17.3
3,8.01,16.0
4,6.92,15.9
5,9.32,15.1
6,6.20,19.2
7,6.95,15.7
8,2.92,23.6
9,9.06,15.5
10,9.64,14.9